Density functional theory data (GGA+U) for a relaxed SrCoSn2F crystal. Values from VASP.

Structure (Quantum ESPRESSO input):
```
&SYSTEM
  ibrav = 0, nat = 5, ntyp = 4
/
ATOMIC_SPECIES
Sr 87.62 Sr.upf
Co 58.93 Co.upf
Sn 118.71 Sn.upf
F 19.00 F.upf
CELL_PARAMETERS angstrom
6.227 0.000 0.000
0.000 4.617 0.000
0.000 0.000 6.227
ATOMIC_POSITIONS crystal
Sr 0.000 0.000 0.000
Co 0.000 0.500 0.000
Sn 0.000 0.000 0.500
Sn 0.500 0.000 0.000
F 0.500 0.500 0.500
```

Output
* DOS(E_F): 6.15 states/eV per cell
* DFT total energy: -10.38 eV/cell
* symmetry: No. 123